# 1
Density functional theory data (GGA-PBE) for crystalline Sm3Cu2Pd4 at its relaxed geometry.

Summary:
- Energy of formation from the pure elements: -0.625 eV/atom

The structure in extended XYZ format:
```
9
Lattice="4.277 0.000 1.264 1.803 5.087 1.769 -0.183 0.265 8.491" Properties=species:S:1:pos:R:3 pbc="T T T"
Sm 0.000 0.000 0.000
Cu 2.743 0.206 6.459
Sm 2.474 3.200 7.368
Pd 1.859 1.852 1.578
Cu 3.155 5.146 5.065
Sm 3.423 2.152 4.155
Pd 5.229 3.969 5.915
Pd 4.038 3.500 9.946
Pd 0.669 1.384 5.609
```

# 2
Density functional theory data (GGA-PBE) for crystalline Ca2YSnH at its relaxed geometry.

Summary:
- VASP energy: -0.29336 Ry/atom

The structure in extended XYZ format:
```
5
Lattice="4.876 0.000 0.000 0.000 4.876 0.000 0.000 0.000 4.955" Properties=species:S:1:pos:R:3 pbc="T T T"
Ca 0.000 2.438 0.000
Ca 2.438 0.000 0.000
H 0.000 0.000 0.000
Y 0.000 0.000 2.477
Sn 2.438 2.438 2.477
```

# 3
Density functional theory data (GGA-PBE) for crystalline Ba2Ga9Pd3 at its relaxed geometry.

Summary:
- Energy of formation from the pure elements: -0.493 eV/atom

The structure in extended XYZ format:
```
28
Lattice="7.404 -0.050 -3.075 -4.377 6.717 -0.020 0.318 0.249 11.058" Properties=species:S:1:pos:R:3 pbc="T T T"
Pd 1.673 3.458 3.982
Pd -2.239 5.706 5.003
Ga 3.324 1.325 4.402
Ga -3.016 6.854 10.111
Ga 3.657 0.575 1.164
Ga -2.805 5.976 2.343
Ga -0.475 3.710 5.634
Ga 2.873 5.870 3.651
Ga -1.462 4.728 0.144
Ga 2.506 2.324 -0.858
Pd 3.554 4.690 8.480
Ga 0.472 1.046 4.312
Ba 5.079 4.068 5.213
Ba -1.733 2.848 2.750
Ba 1.719 5.072 0.709
Ga 1.287 1.909 1.721
Ga 4.807 2.188 7.819
Ga -0.311 6.342 6.799
Ga 6.151 0.940 5.620
Ba 1.627 1.844 7.254
Ga 2.058 5.007 6.242
Ga 3.821 3.206 2.329
Pd -0.208 2.227 -0.517
Pd 5.585 1.210 2.960
Ga 0.839 4.592 8.821
Ga 6.362 0.062 -2.148
Pd 3.702 -0.025 -1.537
Ga 0.021 5.591 3.561
```

# 4
Density functional theory data (GGA-PBE) for crystalline PrHg3Pd3 at its relaxed geometry.

Summary:
- Energy of formation from the pure elements: -0.304 eV/atom

The structure in extended XYZ format:
```
14
Lattice="8.045 0.000 0.000 4.022 6.967 0.000 4.022 2.322 5.658" Properties=species:S:1:pos:R:3 pbc="T T T"
Hg 10.651 4.494 2.029
Hg 6.872 6.977 2.029
Pd 5.140 5.009 0.846
Pr 8.045 4.645 0.000
Pd 9.181 1.947 0.846
Pd 6.277 2.311 4.812
Hg 9.217 2.312 3.629
Hg 6.611 2.463 2.029
Pr 8.045 4.645 5.658
Hg 5.438 4.796 3.629
Pd 6.908 7.342 4.812
Pd 9.812 6.978 0.846
Pd 10.949 4.280 4.812
Hg 9.479 6.826 3.629
```

# 5
Density functional theory data (GGA-PBE) for crystalline PdC at its relaxed geometry.

Summary:
- Energy of formation from the pure elements: 1.370 eV/atom

The structure in extended XYZ format:
```
12
Lattice="-0.152 2.183 -5.356 2.350 -4.872 -2.053 -5.285 -2.230 -0.759" Properties=species:S:1:pos:R:3 pbc="T T T"
C -0.880 -4.769 -1.919
C -2.055 -2.333 -0.893
Pd -0.146 -2.993 -1.216
C 1.061 -0.799 -5.043
Pd -2.788 -4.108 -1.595
C -1.397 0.534 -2.868
Pd 0.511 -0.126 -3.191
Pd -2.757 0.523 -4.396
Pd 1.687 -2.563 -4.218
C 1.137 -1.890 -2.365
C -4.040 -0.581 -3.247
Pd -2.680 -0.569 -1.718
```

# 6
Density functional theory data (GGA-PBE) for crystalline InCoAu2 at its relaxed geometry.

Summary:
- Energy of formation from the pure elements: 0.083 eV/atom

The structure in extended XYZ format:
```
4
Lattice="-2.036 0.936 -3.362 1.492 -3.285 -1.818 -3.220 -2.201 1.336" Properties=species:S:1:pos:R:3 pbc="T T T"
Au 0.000 0.000 0.000
In -0.864 -2.743 -0.241
Co -2.628 -0.633 -1.013
Au -0.272 -1.174 -2.590
```

# 7
Density functional theory data (GGA-PBE) for crystalline GaCuNi14 at its relaxed geometry.

Summary:
- Energy of formation from the pure elements: -0.044 eV/atom

The structure in extended XYZ format:
```
16
Lattice="4.988 -0.294 0.000 -2.226 4.474 0.000 0.000 0.000 8.191" Properties=species:S:1:pos:R:3 pbc="T T T"
Ni 2.881 1.099 0.000
Ni 4.081 0.305 6.164
Ni 0.473 2.690 2.035
Ni 1.769 3.333 0.000
Ni 0.573 4.129 4.096
Ni 0.473 2.690 6.157
Ni -0.811 2.035 4.096
Cu -1.923 4.274 4.096
Ni -0.724 3.481 0.000
Ga 1.687 1.888 4.096
Ni 1.596 0.445 2.022
Ni 1.596 0.445 6.169
Ni 0.389 1.246 0.000
Ni 2.979 2.537 6.169
Ni 4.081 0.305 2.027
Ni 2.979 2.537 2.022
```

# 8
Density functional theory data (GGA-PBE) for crystalline Pm2AlZn2Pd5 at its relaxed geometry.

Summary:
- Energy of formation from the pure elements: -0.691 eV/atom

The structure in extended XYZ format:
```
20
Lattice="-0.743 1.612 -3.217 1.099 -8.710 -4.619 -9.653 -1.897 1.279" Properties=species:S:1:pos:R:3 pbc="T T T"
Pd 0.178 -3.549 -3.918
Pd -3.853 -6.128 -4.279
Pm -7.599 -4.387 -0.443
Zn -7.783 -7.088 -1.755
Pd -1.270 -7.765 -5.696
Zn -0.771 -3.519 -1.585
Pd -5.198 -0.142 -0.969
Pm -5.618 -8.460 -2.943
Pd -2.782 -3.599 -3.259
Pd -6.515 -5.396 -3.298
Pd -8.570 -7.944 -4.100
Pm -0.954 -6.220 -2.897
Al -4.277 -5.304 -1.670
Pd -5.444 -2.867 -2.278
Al 0.000 0.000 0.000
Pd -8.027 -1.230 -0.861
Zn -2.677 -8.356 -3.570
Pm -2.936 -2.147 -0.398
Zn -5.877 -2.251 0.229
Pd -0.727 -1.051 -2.457
```

# 9
Density functional theory data (GGA-PBE) for crystalline Pa2AlPt5 at its relaxed geometry.

Summary:
- Energy of formation from the pure elements: -0.833 eV/atom

The structure in extended XYZ format:
```
8
Lattice="5.859 0.235 0.335 -2.680 5.216 -0.335 -2.680 -2.090 4.790" Properties=species:S:1:pos:R:3 pbc="T T T"
Pt -1.289 0.752 1.071
Pt 1.683 1.046 1.490
Pt -2.761 3.236 1.155
Pt -2.761 -0.015 3.435
Al -4.852 2.830 4.033
Pa 0.208 3.531 1.149
Pa 0.208 -0.121 3.712
Pt -1.347 2.411 3.435
```

# 10
Density functional theory data (GGA-PBE) for crystalline HfFeB at its relaxed geometry.

Summary:
- Energy of formation from the pure elements: -0.138 eV/atom

The structure in extended XYZ format:
```
6
Lattice="4.052 0.009 0.014 -1.735 5.026 -0.766 0.583 2.113 3.408" Properties=species:S:1:pos:R:3 pbc="T T T"
Fe 0.758 0.536 0.864
B 2.715 0.820 1.323
Hf 1.279 3.678 1.495
B 1.561 1.520 2.452
Hf 3.014 2.625 -0.201
Fe 3.523 1.801 2.905
```

# 11
Density functional theory data (GGA-PBE) for crystalline SrEr2CrN4 at its relaxed geometry.

Summary:
- ΔE_f (raw): -118.79 kJ per mole of atoms

The structure in extended XYZ format:
```
16
Lattice="-0.282 3.210 -1.118 -4.868 -0.977 3.624 6.077 3.729 9.167" Properties=species:S:1:pos:R:3 pbc="T T T"
N 3.038 1.864 4.584
Er -1.188 1.923 0.619
N -0.294 1.739 5.064
N 0.000 0.000 0.000
Cr -0.242 1.153 3.369
Er -0.417 2.485 7.235
N -1.862 0.777 2.699
N 1.221 4.223 6.610
N 2.788 5.185 8.975
N 0.507 3.304 9.354
Sr -2.717 3.050 4.239
Er 1.343 3.477 4.438
Sr 3.644 2.911 7.435
Er 2.115 4.038 11.055
N 0.420 2.657 2.319
Cr 1.168 4.808 8.304
```

# 12
Density functional theory data (GGA-PBE) for crystalline AcAgPbAu at its relaxed geometry.

Summary:
- Energy of formation from the pure elements: -0.458 eV/atom

The structure in extended XYZ format:
```
4
Lattice="5.312 0.000 0.000 2.656 4.600 0.000 2.656 1.533 4.337" Properties=species:S:1:pos:R:3 pbc="T T T"
Ac 5.312 3.067 2.169
Au 7.968 4.600 3.253
Ag 2.656 1.533 1.084
Pb 0.000 0.000 0.000
```

| no. | D(E_F) (states/eV/cell) |
| --- | --- |
| 1 | 3.6 |
| 2 | 4.5 |
| 3 | 8.7 |
| 4 | 6.4 |
| 5 | 3.6 |
| 6 | 3.2 |
| 7 | 24.9 |
| 8 | 10.1 |
| 9 | 7.4 |
| 10 | 5.4 |
| 11 | 3.7 |
| 12 | 1.9 |